DFT (PBE-GGA) results for a relaxed ErZn2Ni crystal.

a = 4.135 Å, b = 4.135 Å, c = 5.354 Å
α = 67.28°, β = 67.28°, γ = 60.00°
Sites, in units of the cell vectors:
Ni 0.500 0.500 0.500
Zn 0.790 0.790 0.631
Zn 0.210 0.210 0.369
Er 0.000 0.000 0.000

Properties
Volume: 17.7 Å³/atom
Space group: R-3m
Density of states at the Fermi level: 0.52 states/eV per atom
Formation energy: -0.282 eV/atom